DFT (PBE-GGA) results for an optimized crystal structure of NbSb2Mo.

a b c (Å): 4.7705 4.7705 4.7705
angles (deg): 60.00 60.00 60.00
Closest atoms and distances in Å follow each position.
Fractional coordinates of all 4 atoms:
Sb 0.2500 0.2500 0.2500  4 Nb 2.92, 4 Mo 2.92
Sb 0.7500 0.7500 0.7500  4 Nb 2.92, 4 Mo 2.92
Mo 0.5000 0.5000 0.5000  8 Sb 2.92
Nb 0.0000 0.0000 0.0000  8 Sb 2.92

Results
Space-group type ... Fm-3m
E_form (uncorrected) ... 122 meV per atom
DOS at the Fermi energy ... 4.05 states/eV/cell
Crystal system ... cubic
E above lowest polymorph ... 0.0 meV/atom
Calculated density ... 9.4 g cm⁻³
Final energy ... -7.1642 eV/atom